*i*
Below is crystalline CeTmTh2 at its relaxed geometry, with properties calculated at the PBE level.

## Properties
Its density is 10.33 g/cm³. As for the density of states at the Fermi level: 21.6 states/eV per cell. As for the crystal system: trigonal.

The structure in CIF format:
```
data_CeTmTh2
_symmetry_space_group_name_H-M 'R -3 m'
_symmetry_Int_Tables_number 166
_symmetry_space_group_name_Hall '-R 3 2"'
_cell_length_a 3.4306
_cell_length_b 3.4306
_cell_length_c 36.5822
_cell_angle_alpha 90.00
_cell_angle_beta 90.00
_cell_angle_gamma 120.00
loop_
_atom_site_label
_atom_site_type_symbol
_atom_site_fract_x
_atom_site_fract_y
_atom_site_fract_z
Ce1 Ce 0.0000 0.0000 0.0000
Tm1 Tm 0.0000 0.0000 0.5000
Th1 Th 0.0000 0.0000 0.0863
```

*ii*
Below is crystalline CeTmTh2 at its relaxed geometry, with properties calculated at the PBE level.

## Properties
Its density is 10.45 g/cm³. As for the density of states at the Fermi level: 21.0 states/eV per cell. As for the crystal system: trigonal.

The structure in CIF format:
```
data_CeTmTh2
_symmetry_space_group_name_H-M 'R 3 m'
_symmetry_Int_Tables_number 160
_symmetry_space_group_name_Hall 'R 3 -2"'
_cell_length_a 3.5162
_cell_length_b 3.5162
_cell_length_c 34.4331
_cell_angle_alpha 90.00
_cell_angle_beta 90.00
_cell_angle_gamma 120.00
loop_
_atom_site_label
_atom_site_type_symbol
_atom_site_fract_x
_atom_site_fract_y
_atom_site_fract_z
Ce1 Ce 0.0000 0.0000 0.0000
Tm1 Tm 0.0000 0.0000 0.1689
Th1 Th 0.0000 0.0000 0.5850
Th2 Th 0.0000 0.0000 0.7499
```

Name the most stable of them. *ii*.

*i*
Below is crystalline CeTmTh2 at its relaxed geometry, with properties calculated at the PBE level.

## Properties
Its density is 10.29 g/cm³. As for the density of states at the Fermi level: 28.7 states/eV per cell. As for the crystal system: monoclinic.

The structure in CIF format:
```
data_CeTmTh2
_symmetry_space_group_name_H-M 'C 1 2/m 1'
_symmetry_Int_Tables_number 12
_cell_length_a 13.103
_cell_length_b 3.402
_cell_length_c 11.223
_cell_angle_alpha 90.00
_cell_angle_beta 94.16
_cell_angle_gamma 90.00
loop_
_symmetry_equiv_pos_as_xyz
'x,y,z'
'-x,-y,-z'
'-x,y,-z'
'x,-y,z'
'x+1/2,y+1/2,z'
'-x+1/2,-y+1/2,-z'
'-x+1/2,y+1/2,-z'
'x+1/2,-y+1/2,z'
loop_
_atom_site_label
_atom_site_type_symbol
_atom_site_fract_x
_atom_site_fract_y
_atom_site_fract_z
Ce1 Ce 0.124 0.000 0.012
Tm1 Tm 0.135 0.500 0.510
Th1 Th 0.011 0.500 0.765
Th2 Th 0.249 0.500 0.241
```

*ii*
Below is crystalline CeTmTh2 at its relaxed geometry, with properties calculated at the PBE level.

## Properties
Its density is 10.42 g/cm³. As for the density of states at the Fermi level: 41.0 states/eV per cell. As for the crystal system: cubic.

The structure in CIF format:
```
data_CeTmTh2
_symmetry_space_group_name_H-M 'F m -3 m'
_symmetry_Int_Tables_number 225
_symmetry_space_group_name_Hall '-F 4 2 3'
_cell_length_a 7.899
_cell_length_b 7.899
_cell_length_c 7.899
_cell_angle_alpha 90.00
_cell_angle_beta 90.00
_cell_angle_gamma 90.00
loop_
_atom_site_label
_atom_site_type_symbol
_atom_site_fract_x
_atom_site_fract_y
_atom_site_fract_z
Ce1 Ce 0.000 0.000 0.000
Tm1 Tm 0.000 0.000 0.500
Th1 Th 0.250 0.250 0.250
```

*iii*
Below is crystalline CeTmTh2 at its relaxed geometry, with properties calculated at the PBE level.

## Properties
Its density is 10.49 g/cm³. As for the density of states at the Fermi level: 6.2 states/eV per cell. As for the crystal system: tetragonal.

The structure in CIF format:
```
data_CeTmTh2
_symmetry_space_group_name_H-M 'P 4/m m m'
_symmetry_Int_Tables_number 123
_symmetry_space_group_name_Hall '-P 4 2'
_cell_length_a 3.528
_cell_length_b 3.528
_cell_length_c 9.836
_cell_angle_alpha 90.00
_cell_angle_beta 90.00
_cell_angle_gamma 90.00
loop_
_atom_site_label
_atom_site_type_symbol
_atom_site_fract_x
_atom_site_fract_y
_atom_site_fract_z
Ce1 Ce 0.000 0.000 0.000
Tm1 Tm 0.000 0.000 0.500
Th1 Th 0.500 0.500 0.245
```

Name the most stable of them. *iii*.

*i*
Below is crystalline CeTmTh3 at its relaxed geometry, with properties calculated at the PBE level.

## Properties
Its density is 10.23 g/cm³. As for the density of states at the Fermi level: 18.7 states/eV per cell. As for the crystal system: hexagonal.

The structure in CIF format:
```
data_CeTmTh3
_symmetry_space_group_name_H-M 'P 63/m m c'
_symmetry_Int_Tables_number 194
_symmetry_space_group_name_Hall '-P 6c 2c'
_cell_length_a 7.8041
_cell_length_b 7.8041
_cell_length_c 6.1887
_cell_angle_alpha 90.00
_cell_angle_beta 90.00
_cell_angle_gamma 120.00
loop_
_atom_site_label
_atom_site_type_symbol
_atom_site_fract_x
_atom_site_fract_y
_atom_site_fract_z
Ce1 Ce 0.0000 0.0000 0.0000
Tm1 Tm 0.3333 0.6667 0.2500
Th1 Th 0.1909 0.3819 0.7500
```

*ii*
Below is crystalline CeTmTh3 at its relaxed geometry, with properties calculated at the PBE level.

## Properties
Its density is 10.80 g/cm³. As for the density of states at the Fermi level: 18.0 states/eV per cell. As for the crystal system: triclinic.

The structure in CIF format:
```
data_CeTmTh3
_symmetry_space_group_name_H-M 'P -1'
_symmetry_Int_Tables_number 2
_cell_length_a 6.091
_cell_length_b 6.098
_cell_length_c 9.331
_cell_angle_alpha 71.00
_cell_angle_beta 83.74
_cell_angle_gamma 70.56
loop_
_symmetry_equiv_pos_as_xyz
'x,y,z'
'-x,-y,-z'
loop_
_atom_site_label
_atom_site_type_symbol
_atom_site_fract_x
_atom_site_fract_y
_atom_site_fract_z
Ce1 Ce 0.250 0.248 0.005
Tm1 Tm 0.250 0.050 0.400
Th1 Th 0.250 0.448 0.604
Th2 Th 0.250 0.849 0.803
Th3 Th 0.251 0.650 0.200
```

Name the most stable of them. *ii*.

*i*
Below is crystalline CeYTmTh at its relaxed geometry, with properties calculated at the PBE level.

## Properties
Its density is 8.48 g/cm³. As for the density of states at the Fermi level: 24.3 states/eV per cell. As for the crystal system: trigonal.

The structure in CIF format:
```
data_CeYTmTh
_symmetry_space_group_name_H-M 'R 3 m'
_symmetry_Int_Tables_number 160
_symmetry_space_group_name_Hall 'R 3 -2"'
_cell_length_a 3.5428
_cell_length_b 3.5428
_cell_length_c 34.0489
_cell_angle_alpha 90.00
_cell_angle_beta 90.00
_cell_angle_gamma 120.00
loop_
_atom_site_label
_atom_site_type_symbol
_atom_site_fract_x
_atom_site_fract_y
_atom_site_fract_z
Ce1 Ce 0.0000 0.0000 0.0000
Y1 Y 0.0000 0.0000 0.8327
Tm1 Tm 0.0000 0.0000 0.5836
Th1 Th 0.0000 0.0000 0.4146
```

*ii*
Below is crystalline CeYTmTh at its relaxed geometry, with properties calculated at the PBE level.

## Properties
Its density is 8.24 g/cm³. As for the density of states at the Fermi level: 48.5 states/eV per cell. As for the crystal system: cubic.

The structure in CIF format:
```
data_CeYTmTh
_symmetry_space_group_name_H-M 'F -4 3 m'
_symmetry_Int_Tables_number 216
_symmetry_space_group_name_Hall 'F -4 2 3'
_cell_length_a 7.977
_cell_length_b 7.977
_cell_length_c 7.977
_cell_angle_alpha 90.00
_cell_angle_beta 90.00
_cell_angle_gamma 90.00
loop_
_atom_site_label
_atom_site_type_symbol
_atom_site_fract_x
_atom_site_fract_y
_atom_site_fract_z
Ce1 Ce 0.000 0.000 0.000
Y1 Y 0.250 0.250 0.750
Tm1 Tm 0.000 0.000 0.500
Th1 Th 0.250 0.250 0.250
```

Name the most stable of them. *i*.

*i*
Below is crystalline CeThU at its relaxed geometry, with properties calculated at the PBE level.

## Properties
Its density is 12.73 g/cm³. As for the density of states at the Fermi level: 30.4 states/eV per cell. As for the crystal system: monoclinic.

The structure in CIF format:
```
data_CeThU
_symmetry_space_group_name_H-M 'C 1 m 1'
_symmetry_Int_Tables_number 8
_cell_length_a 10.433
_cell_length_b 6.612
_cell_length_c 5.374
_cell_angle_alpha 90.00
_cell_angle_beta 120.81
_cell_angle_gamma 90.00
loop_
_symmetry_equiv_pos_as_xyz
'x,y,z'
'x,-y,z'
'x+1/2,y+1/2,z'
'x+1/2,-y+1/2,z'
loop_
_atom_site_label
_atom_site_type_symbol
_atom_site_fract_x
_atom_site_fract_y
_atom_site_fract_z
Ce1 Ce 0.000 0.224 0.000
Th1 Th 0.319 0.500 0.319
Th2 Th 0.356 0.000 0.356
U1 U 0.177 0.186 0.678
```

*ii*
Below is crystalline CeThU at its relaxed geometry, with properties calculated at the PBE level.

## Properties
Its density is 12.77 g/cm³. As for the density of states at the Fermi level: 16.9 states/eV per cell. As for the crystal system: tetragonal.

The structure in CIF format:
```
data_CeThU
_symmetry_space_group_name_H-M 'I 4 m m'
_symmetry_Int_Tables_number 107
_symmetry_space_group_name_Hall 'I 4 -2'
_cell_length_a 3.298
_cell_length_b 3.298
_cell_length_c 14.590
_cell_angle_alpha 90.00
_cell_angle_beta 90.00
_cell_angle_gamma 90.00
loop_
_atom_site_label
_atom_site_type_symbol
_atom_site_fract_x
_atom_site_fract_y
_atom_site_fract_z
Ce1 Ce 0.000 0.000 0.000
Th1 Th 0.000 0.000 0.323
U1 U 0.000 0.000 0.657
```

Name the most stable of them. *i*.

*i*
Below is crystalline CeTh2V at its relaxed geometry, with properties calculated at the PBE level.

## Properties
Its density is 9.90 g/cm³. As for the density of states at the Fermi level: 23.7 states/eV per cell. As for the crystal system: trigonal.

The structure in CIF format:
```
data_CeTh2V
_symmetry_space_group_name_H-M 'R -3 m'
_symmetry_Int_Tables_number 166
_symmetry_space_group_name_Hall '-R 3 2"'
_cell_length_a 3.3412
_cell_length_b 3.3412
_cell_length_c 34.0998
_cell_angle_alpha 90.00
_cell_angle_beta 90.00
_cell_angle_gamma 120.00
loop_
_atom_site_label
_atom_site_type_symbol
_atom_site_fract_x
_atom_site_fract_y
_atom_site_fract_z
Ce1 Ce 0.0000 0.0000 0.0000
Th1 Th 0.0000 0.0000 0.4207
V1 V 0.0000 0.0000 0.5000
```

*ii*
Below is crystalline CeTh2V at its relaxed geometry, with properties calculated at the PBE level.

## Properties
Its density is 10.44 g/cm³. As for the density of states at the Fermi level: 6.6 states/eV per cell. As for the crystal system: tetragonal.

The structure in CIF format:
```
data_CeTh2V
_symmetry_space_group_name_H-M 'P 4/m m m'
_symmetry_Int_Tables_number 123
_symmetry_space_group_name_Hall '-P 4 2'
_cell_length_a 3.555
_cell_length_b 3.555
_cell_length_c 8.245
_cell_angle_alpha 90.00
_cell_angle_beta 90.00
_cell_angle_gamma 90.00
loop_
_atom_site_label
_atom_site_type_symbol
_atom_site_fract_x
_atom_site_fract_y
_atom_site_fract_z
Ce1 Ce 0.000 0.000 0.000
Th1 Th 0.500 0.500 0.280
V1 V 0.000 0.000 0.500
```

Name the most stable of them. *ii*.